a.
## BeAgF3 (PBE)

Data for BeAgF3 after structural relaxation.

Properties
Spin magnetization (μB/atom): 0.01
Calculated volume (Å³ per cell): 263.0

Geometry as POSCAR:
```
BeAgF3
1.0
4.919 -0.204 -0.203
0.834 7.278 -0.096
0.834 -0.043 7.278
F Be Ag
12 4 4
Cartesian
3.911 4.669 0.292
2.674 2.362 6.688
2.490 0.833 1.317
1.637 5.809 6.257
2.477 5.251 3.900
4.109 1.780 3.080
4.096 6.198 5.662
1.452 0.428 4.768
1.650 3.195 1.859
4.936 3.836 5.121
5.134 6.603 2.212
4.949 1.221 0.722
3.975 0.768 1.926
1.516 2.034 0.856
2.611 6.262 5.054
5.070 4.997 6.124
4.523 1.330 5.589
4.523 4.224 2.674
2.063 5.701 1.390
2.063 2.807 4.306
```

b.
## BeAgF3 (PBE)

Data for BeAgF3 after structural relaxation.

Properties
Spin magnetization (μB/atom): 0.00
Calculated volume (Å³ per cell): 50.0

Geometry as POSCAR:
```
BeAgF3
1.0
-0.092 0.921 3.567
-3.343 -1.520 0.307
1.548 -3.228 0.874
Be F Ag
1 3 1
Cartesian
0.000 0.000 0.000
-0.046 0.461 1.783
0.774 -1.614 0.437
-1.671 -0.760 0.153
-0.943 -1.913 2.374
```

c.
## BeAgF3 (PBE)

Data for BeAgF3 after structural relaxation.

Properties
Spin magnetization (μB/atom): 0.20
Calculated volume (Å³ per cell): 81.0

Geometry as POSCAR:
```
BeAgF3
1.0
-2.038 2.994 2.366
-2.480 1.000 -3.401
-2.900 -2.959 1.245
Be Ag F
1 1 3
Cartesian
-3.709 0.517 0.105
0.000 0.000 0.000
-1.019 1.497 1.183
-1.450 -1.479 0.623
-1.240 0.500 -1.700
```

d.
## BeAgF3 (PBE)

Data for BeAgF3 after structural relaxation.

Properties
Spin magnetization (μB/atom): 0.00
Calculated volume (Å³ per cell): 147.3

Geometry as POSCAR:
```
BeAgF3
1.0
-4.597 2.239 -2.121
-2.422 -2.300 -4.413
-5.445 -3.185 1.166
F Be Ag
6 2 2
Cartesian
-6.333 -4.140 -2.943
-5.866 -1.677 -0.183
-8.753 -1.339 -2.521
-6.598 -1.569 -5.185
-3.710 -1.907 -2.847
-6.131 0.895 -2.425
-7.895 -0.959 -5.582
-4.568 -2.287 0.214
-7.650 -3.069 -1.153
-4.814 -0.176 -4.214
```

a is preferred energetically. Next in line: 115 meV per atom higher.

a.
## BeAgF2 (PBE)

Data for BeAgF2 after structural relaxation.

Properties
Spin magnetization (μB/atom): 0.00
Calculated volume (Å³ per cell): 58.6

Geometry as POSCAR:
```
BeAgF2
1.0
-4.664 4.078 7.134
-5.577 1.564 7.466
-3.235 2.304 8.574
F Ag Be
2 1 1
Cartesian
-11.657 6.873 20.047
-1.819 1.072 3.128
0.000 0.000 0.000
-6.738 3.973 11.587
```

b.
## BeAgF2 (PBE)

Data for BeAgF2 after structural relaxation.

Properties
Spin magnetization (μB/atom): 0.00
Calculated volume (Å³ per cell): 75.5

Geometry as POSCAR:
```
BeAgF2
1.0
-5.452 -3.640 7.339
-2.731 -4.255 8.442
-3.950 -1.550 8.879
F Ag Be
2 1 1
Cartesian
-0.574 -0.447 1.166
-11.560 -8.999 23.495
-6.067 -4.723 12.331
0.000 0.000 0.000
```

c.
## BeAgF2 (PBE)

Data for BeAgF2 after structural relaxation.

Properties
Spin magnetization (μB/atom): 0.00
Calculated volume (Å³ per cell): 102.3

Geometry as POSCAR:
```
BeAgF2
1.0
2.745 3.687 2.536
-2.279 2.826 3.792
1.379 -0.736 5.011
Ag Be F
2 2 4
Cartesian
1.384 4.332 8.504
0.923 2.888 5.669
0.461 1.444 2.835
0.000 0.000 0.000
0.920 0.354 3.923
0.231 0.722 1.417
1.603 2.565 2.685
-0.909 2.135 3.313
```

d.
## BeAgF2 (PBE)

Data for BeAgF2 after structural relaxation.

Properties
Spin magnetization (μB/atom): 0.00
Calculated volume (Å³ per cell): 48.5

Geometry as POSCAR:
```
BeAgF2
1.0
1.999 -2.378 2.664
-1.715 -3.467 1.335
1.491 -3.616 -1.203
Be F Ag
1 2 1
Cartesian
0.000 0.000 0.000
0.444 -2.365 0.699
1.331 -7.095 2.097
0.887 -4.730 1.398
```

a is preferred energetically. Next in line: 133 meV per atom higher.

a.
## Be3AgF (PBE)

Data for Be3AgF after structural relaxation.

Properties
Spin magnetization (μB/atom): 0.00
Calculated volume (Å³ per cell): 85.0

Geometry as POSCAR:
```
Be3AgF
1.0
-2.516 -3.591 -0.330
3.200 -2.038 -2.222
1.662 -1.512 3.779
Ag F Be
1 1 3
Cartesian
0.000 0.000 0.000
1.173 -3.570 0.613
1.600 -1.019 -1.111
-1.258 -1.795 -0.165
0.831 -0.756 1.890
```

b.
## Be3AgF (PBE)

Data for Be3AgF after structural relaxation.

Properties
Spin magnetization (μB/atom): 0.00
Calculated volume (Å³ per cell): 52.8

Geometry as POSCAR:
```
Be3AgF
1.0
3.752 0.000 0.000
0.000 3.752 0.000
0.000 0.000 3.752
Be Ag F
3 1 1
Cartesian
0.000 0.000 1.876
1.876 0.000 0.000
0.000 1.876 0.000
1.876 1.876 1.876
0.000 0.000 0.000
```

b is preferred energetically. Next in line: 616 meV per atom higher.

a.
## BeAgNF2 (PBE)

Data for BeAgNF2 after structural relaxation.

Properties
Spin magnetization (μB/atom): 0.16
Calculated volume (Å³ per cell): 74.3

Geometry as POSCAR:
```
BeAgNF2
1.0
-2.603 3.069 1.473
-3.395 -2.473 -0.847
0.230 -1.589 3.715
Ag Be F N
1 1 2 1
Cartesian
0.000 0.000 0.000
-2.884 -0.496 2.171
-1.301 1.534 0.737
-1.698 -1.236 -0.424
0.115 -0.794 1.858
```

b.
## BeAgNF2 (PBE)

Data for BeAgNF2 after structural relaxation.

Properties
Spin magnetization (μB/atom): 0.20
Calculated volume (Å³ per cell): 62.0

Geometry as POSCAR:
```
BeAgNF2
1.0
3.199 0.000 0.000
0.000 3.199 0.000
0.000 0.000 6.057
F Ag Be N
2 1 1 1
Cartesian
0.000 1.600 0.000
1.600 0.000 0.000
1.600 1.600 3.028
0.000 0.000 0.000
0.000 0.000 3.028
```

b is preferred energetically. Next in line: 1491 meV per atom higher.